Record 1
First-principles (GGA-PBE) data for CaY2Mo after structural relaxation, as listed in Alexandria via LeMat-Bulk.

Output
For the energy above the most stable polymorph in this dataset, the calculation gives 17.3 kJ per mole of atoms. The calculation puts the formation energy at 438 meV per atom. Its total energy is -0.2206 Ha/atom. As for the symmetry: P4mm (99).

Lattice parameters (Å, degrees): 3.815 3.815 7.943 90.00 90.00 90.00
Atoms (fractional coordinates):
Ca: 0.000 0.000 0.000
Y: 0.000 0.000 0.401
Y: 0.500 0.500 0.656
Mo: 0.500 0.500 0.262

---

Record 2
First-principles (GGA-PBE) data for CaNdGaAg after structural relaxation, as listed in Alexandria via LeMat-Bulk.

Output
The calculation puts the formation energy at -421 meV per atom. Its total energy is -0.1317 Ha/atom. As for the symmetry: F-43m (216).

Lattice parameters (Å, degrees): 5.240 5.240 5.240 60.00 60.00 60.00
Atoms (fractional coordinates):
Ca: 0.000 0.000 0.000
Nd: 0.500 0.500 0.500
Ga: 0.750 0.750 0.750
Ag: 0.250 0.250 0.250

---

Record 3
First-principles (GGA-PBE) data for SnPSeO2 after structural relaxation, as listed in Alexandria via LeMat-Bulk.

Output
The raw formation energy is -0.84 eV per formula unit. For the energy above the most stable polymorph in this dataset, the calculation gives 0.0 kJ per mole of atoms. Its total energy is -0.1739 Ha/atom. As for the symmetry: P4/mmm (123).

Lattice parameters (Å, degrees): 3.849 3.849 6.462 90.00 90.00 90.00
Atoms (fractional coordinates):
Sn: 0.000 0.000 0.000
P: 0.000 0.000 0.500
Se: 0.500 0.500 0.500
O: 0.000 0.500 0.000
O: 0.500 0.000 0.000

---

Record 4
First-principles (GGA-PBE) data for CaMg7 after structural relaxation, as listed in Alexandria via LeMat-Bulk.

Output
For the energy above the most stable polymorph in this dataset, the calculation gives 2.2 kJ per mole of atoms. The calculation puts the formation energy at 29 meV per atom. Its total energy is -0.0594 Ha/atom. As for the symmetry: Fm-3m (225).

Lattice parameters (Å, degrees): 6.597 6.597 6.597 60.00 60.00 60.00
Atoms (fractional coordinates):
Ca: 0.000 0.000 0.000
Mg: 0.000 0.000 0.500
Mg: 0.000 0.500 0.000
Mg: 0.000 0.500 0.500
Mg: 0.500 0.000 0.000
Mg: 0.500 0.000 0.500
Mg: 0.500 0.500 0.000
Mg: 0.500 0.500 0.500

---

Record 5
First-principles (GGA-PBE) data for YSiP2 after structural relaxation, as listed in Alexandria via LeMat-Bulk.

Output
The raw formation energy is -1.30 eV per formula unit. Its total energy is -0.2206 Ha/atom. As for the symmetry: P4/mmm (123).

Lattice parameters (Å, degrees): 4.470 4.470 3.586 90.00 90.00 90.00
Atoms (fractional coordinates):
Y: 0.000 0.000 0.000
Si: 0.500 0.500 0.000
P: 0.000 0.500 0.500
P: 0.500 0.000 0.500

---

Record 6
First-principles (GGA-PBE) data for TiNbZnCr after structural relaxation, as listed in Alexandria via LeMat-Bulk.

Output
The calculation puts the formation energy at 25 meV per atom. Its total energy is -0.2643 Ha/atom. As for the symmetry: F-43m (216).

Lattice parameters (Å, degrees): 4.415 4.415 4.415 60.00 60.00 60.00
Atoms (fractional coordinates):
Ti: 0.000 0.000 0.000
Nb: 0.500 0.500 0.500
Zn: 0.250 0.250 0.250
Cr: 0.750 0.750 0.750

---

Record 7
First-principles (GGA-PBE) data for BaSr2P after structural relaxation, as listed in Alexandria via LeMat-Bulk.

Output
The calculation puts the formation energy at -150 meV per atom. Its total energy is -0.1038 Ha/atom. As for the symmetry: I-4m2 (119).

Lattice parameters (Å, degrees): 6.718 6.718 6.718 136.61 136.61 63.04
Atoms (fractional coordinates):
Ba: 0.000 0.000 0.000
Sr: 0.500 0.500 0.000
Sr: 0.750 0.250 0.500
P: 0.250 0.750 0.500

---

Record 8
First-principles (GGA-PBE) data for Au2BrCl after structural relaxation, as listed in Alexandria via LeMat-Bulk.

Output
The raw formation energy is -0.13 eV per formula unit. For the energy above the most stable polymorph in this dataset, the calculation gives 6.6 kJ per mole of atoms. Its total energy is -0.0938 Ha/atom. As for the symmetry: Cm (8).

Lattice parameters (Å, degrees): 3.882 3.882 8.003 101.68 101.68 60.35
Atoms (fractional coordinates):
Au: 0.000 0.000 0.000
Au: 0.730 0.730 0.208
Br: 0.266 0.266 0.803
Cl: 0.461 0.461 0.384